## NiSb3 (PBE-GGA)

Data for crystalline NiSb3 at its relaxed geometry.

abc: 6.1151 6.2382 10.3145
angles: 90.00 90.00 90.00
Fractional positions:
Sb 0.1462 0.0692 0.7500
Sb 0.6462 0.4308 0.2500
Sb 0.3538 0.5692 0.7500
Sb 0.8538 0.9308 0.2500
Sb 0.6471 0.2684 0.8956
Sb 0.1471 0.2316 0.1044
Sb 0.8529 0.7684 0.6044
Sb 0.3529 0.7316 0.3956
Sb 0.3529 0.7316 0.1044
Sb 0.8529 0.7684 0.8956
Sb 0.1471 0.2316 0.3956
Sb 0.6471 0.2684 0.6044
Ni 0.5367 0.9374 0.7500
Ni 0.0367 0.5626 0.2500
Ni 0.9633 0.4374 0.7500
Ni 0.4633 0.0626 0.2500

Properties
Offset from the most stable computed form (eV/atom): 0.136
Symmetry: No. 62

---

## NiSb (PBE-GGA)

Data for crystalline NiSb at its relaxed geometry.

abc: 3.9690 3.9690 5.1565
angles: 90.00 90.00 120.00
Fractional positions:
Sb 0.6667 0.3333 0.7500
Sb 0.3333 0.6667 0.2500
Ni 0.0000 0.0000 0.0000
Ni 0.0000 0.0000 0.5000

Properties
Symmetry: No. 194

---

## NiSb3 (PBE-GGA)

Data for crystalline NiSb3 at its relaxed geometry.

abc: 5.0617 5.0617 5.0617
angles: 60.00 60.00 60.00
Fractional positions:
Ni 0.0000 0.0000 0.0000
Sb 0.7500 0.7500 0.7500
Sb 0.5000 0.5000 0.5000
Sb 0.2500 0.2500 0.2500

Properties
Offset from the most stable computed form (eV/atom): 0.586
Symmetry: No. 225

---

## NiSb (PBE-GGA)

Data for crystalline NiSb at its relaxed geometry.

abc: 7.7938 12.1749 6.9435
angles: 90.00 90.00 90.00
Fractional positions:
Ni 0.0000 0.8939 0.0000
Ni 0.0000 0.1061 0.0000
Ni 0.2500 0.8561 0.2500
Ni 0.2500 0.6439 0.2500
Ni 0.0000 0.3939 0.5000
Ni 0.0000 0.6061 0.5000
Ni 0.2500 0.3561 0.7500
Ni 0.2500 0.1439 0.7500
Ni 0.5000 0.8939 0.5000
Ni 0.5000 0.1061 0.5000
Ni 0.7500 0.8561 0.7500
Ni 0.7500 0.6439 0.7500
Ni 0.5000 0.3939 0.0000
Ni 0.5000 0.6061 0.0000
Ni 0.7500 0.3561 0.2500
Ni 0.7500 0.1439 0.2500
Sb 0.2813 0.0000 0.0000
Sb 0.7187 0.0000 0.0000
Sb 0.9687 0.7500 0.2500
Sb 0.5313 0.7500 0.2500
Sb 0.2813 0.5000 0.5000
Sb 0.7187 0.5000 0.5000
Sb 0.9687 0.2500 0.7500
Sb 0.5313 0.2500 0.7500
Sb 0.7813 0.0000 0.5000
Sb 0.2187 0.0000 0.5000
Sb 0.4687 0.7500 0.7500
Sb 0.0313 0.7500 0.7500
Sb 0.7813 0.5000 0.0000
Sb 0.2187 0.5000 0.0000
Sb 0.4687 0.2500 0.2500
Sb 0.0313 0.2500 0.2500

Properties
Symmetry: No. 70

---

## NiSb3 (PBE-GGA)

Data for crystalline NiSb3 at its relaxed geometry.

abc: 3.4619 3.4619 9.0923
angles: 90.00 90.00 120.00
Fractional positions:
Ni 0.0000 0.0000 0.0000
Sb 0.0000 0.0000 0.5000
Sb 0.6667 0.3333 0.1872
Sb 0.6667 0.3333 0.8128

Properties
Offset from the most stable computed form (eV/atom): 0.292
Symmetry: No. 187

---

## NiSb3 (PBE-GGA)

Data for crystalline NiSb3 at its relaxed geometry.

abc: 3.7492 3.3835 7.6449
angles: 90.00 90.00 90.00
Fractional positions:
Ni 0.0000 0.0000 0.0046
Sb 0.5000 0.0000 0.5174
Sb 0.5000 0.5000 0.8817
Sb 0.0000 0.5000 0.2629

Properties
Offset from the most stable computed form (eV/atom): 0.291
Symmetry: No. 25

---

So what do the calculations give for raw total energy? Going down the list: -4.55; -5.22; -4.10; -4.90; -4.39; -4.39 eV per atom.